1.
This record from Alexandria describes a relaxed PmYTe crystal. The functional is PBE.

```
PmYTe
1.0
3.9259 0.0000 0.0000
0.0000 3.9259 0.0000
0.0000 0.0000 11.7389
Pm Y Te
2 2 2
Direct
0.0000 0.0000 0.0000
0.5000 0.5000 0.5000
0.0000 0.0000 0.6913
0.5000 0.5000 0.1913
0.0000 0.0000 0.3354
0.5000 0.5000 0.8354
```

Values from the calculation:
V (Å³/cell): 181
Fermi-level density of states (states/eV per cell): 5.432
M_tot (μB/cell): 0.00
Space-group type: No. 107
Raw formation energy (meV per atom): -793
ΔE to the lowest computed polymorph (kJ/mol of formula units): 1.6

2.
This record from Alexandria describes a relaxed MnHgRu2 crystal. The functional is PBE.

```
MnHgRu2
1.0
2.9723 0.0000 0.0000
0.0000 2.9723 0.0000
0.0000 0.0000 6.9515
Mn Hg Ru
1 1 2
Direct
0.0000 0.0000 0.0000
0.0000 0.0000 0.5000
0.5000 0.5000 0.2040
0.5000 0.5000 0.7960
```

Values from the calculation:
V (Å³/cell): 61
Fermi-level density of states (states/eV per cell): 3.497
Calculated formation energy (eV/atom): 0.283
M_tot (μB/cell): 1.85
Space-group type: No. 123

3.
This record from Alexandria describes a relaxed Sm3GdN crystal. The functional is PBE.

```
Sm3GdN
1.0
5.0789 0.0000 0.0000
0.0000 5.0789 0.0000
0.0000 0.0000 5.0789
Sm Gd N
3 1 1
Direct
0.0000 0.0000 0.5000
0.0000 0.5000 0.0000
0.5000 0.0000 0.0000
0.5000 0.5000 0.5000
0.0000 0.0000 0.0000
```

Values from the calculation:
V (Å³/cell): 131
Fermi-level density of states (states/eV per cell): 6.288
M_tot (μB/cell): 8.28
Space-group type: No. 221
Raw formation energy (meV per atom): -473

4.
This record from Alexandria describes a relaxed PmNdCdNi crystal. The functional is PBE.

```
PmNdCdNi
1.0
7.3639 0.0000 0.0000
0.0000 7.3639 0.0000
0.0000 0.0000 7.3639
Pm Nd Cd Ni
4 4 4 4
Direct
0.0000 0.0000 0.0000
0.0000 0.5000 0.5000
0.5000 0.0000 0.5000
0.5000 0.5000 0.0000
0.0000 0.0000 0.5000
0.0000 0.5000 0.0000
0.5000 0.0000 0.0000
0.5000 0.5000 0.5000
0.2500 0.2500 0.2500
0.2500 0.7500 0.7500
0.7500 0.2500 0.7500
0.7500 0.7500 0.2500
0.2500 0.2500 0.7500
0.2500 0.7500 0.2500
0.7500 0.2500 0.2500
0.7500 0.7500 0.7500
```

Values from the calculation:
V (Å³/cell): 399
Fermi-level density of states (states/eV per cell): 13.810
Calculated formation energy (eV/atom): -0.188
M_tot (μB/cell): 0.00
Space-group type: No. 216

5.
This record from Alexandria describes a relaxed Ca5Tl2Pt2 crystal. The functional is PBE.

```
Ca5Tl2Pt2
1.0
8.3840 -3.8795 0.0000
8.3840 3.8795 0.0000
0.0000 0.0000 7.7483
Ca Tl Pt
10 4 4
Direct
0.0000 0.0000 0.0000
0.0536 0.7065 0.6724
0.2065 0.5536 0.1724
0.2935 0.9464 0.6724
0.4464 0.7935 0.1724
0.5000 0.5000 0.5000
0.5536 0.2065 0.8276
0.7065 0.0536 0.3276
0.7935 0.4464 0.8276
0.9464 0.2935 0.3276
0.2206 0.2206 0.0000
0.2794 0.2794 0.5000
0.7206 0.7206 0.5000
0.7794 0.7794 0.0000
0.1251 0.8749 0.3744
0.3749 0.6251 0.8744
0.6251 0.3749 0.1256
0.8749 0.1251 0.6256
```

Values from the calculation:
V (Å³/cell): 504
Fermi-level density of states (states/eV per cell): 6.722
Calculated formation energy (eV/atom): -0.646
M_tot (μB/cell): 0.00
Space-group type: No. 64

6.
This record from Alexandria describes a relaxed K2BeHg crystal. The functional is PBE.

```
K2BeHg
1.0
11.8960 0.0000 0.0000
0.0000 4.5750 0.0000
-3.2003 0.0000 5.3241
K Be Hg
4 2 2
Direct
0.0000 0.0000 0.0000
0.1802 0.0000 0.6783
0.5000 0.5000 0.0000
0.6802 0.5000 0.6783
0.3327 0.5000 0.3326
0.8327 0.0000 0.3326
0.3634 0.0000 0.3615
0.8634 0.5000 0.3615
```

Values from the calculation:
V (Å³/cell): 290
Fermi-level density of states (states/eV per cell): 5.683
Calculated formation energy (eV/atom): 0.241
M_tot (μB/cell): 0.00
Space-group type: No. 8
ΔE to the lowest computed polymorph (kJ/mol of formula units): 13.5

7.
This record from Alexandria describes a relaxed Tl4CdPd7 crystal. The functional is PBE.

```
Tl4CdPd7
1.0
5.5662 -2.5363 0.0000
5.5662 2.5363 0.0000
-5.0694 0.0000 8.5077
Tl Cd Pd
4 1 7
Direct
0.0892 0.0892 0.2761
0.2511 0.2511 0.8336
0.7489 0.7489 0.1664
0.9108 0.9108 0.7239
0.5000 0.5000 0.5000
0.0000 0.0000 0.5000
0.1372 0.1372 0.0260
0.2935 0.2935 0.5867
0.4271 0.4271 0.1731
0.5729 0.5729 0.8269
0.7065 0.7065 0.4133
0.8628 0.8628 0.9740
```

Values from the calculation:
V (Å³/cell): 240
Fermi-level density of states (states/eV per cell): 4.578
Calculated formation energy (eV/atom): -0.084
M_tot (μB/cell): 0.00
Space-group type: No. 12

8.
This record from Alexandria describes a relaxed UGe2I8 crystal. The functional is PBE.

```
UGe2I8
1.0
7.4745 -4.3227 0.0000
7.4745 4.3227 0.0000
-0.6013 0.0000 9.2339
U Ge I
1 2 8
Direct
0.0000 0.0000 0.0000
0.1481 0.1481 0.3774
0.8519 0.8519 0.6226
0.1156 0.1156 0.7548
0.1165 0.6406 0.8391
0.3238 0.3238 0.4019
0.3594 0.8835 0.1609
0.6406 0.1165 0.8391
0.6762 0.6762 0.5981
0.8835 0.3594 0.1609
0.8844 0.8844 0.2452
```

Values from the calculation:
V (Å³/cell): 597
Fermi-level density of states (states/eV per cell): 3.528
M_tot (μB/cell): 2.00
Space-group type: No. 12
Raw formation energy (meV per atom): -484
ΔE to the lowest computed polymorph (kJ/mol of formula units): 4.1

9.
This record from Alexandria describes a relaxed Cs4Ce3NiSe8 crystal. The functional is PBE.

```
Cs4Ce3NiSe8
1.0
7.5531 -4.2586 0.0000
7.5531 4.2586 0.0000
-4.9843 0.0000 8.3254
Cs Ce Ni Se
4 3 1 8
Direct
0.0000 0.0000 0.0000
0.0000 0.5000 0.0000
0.5000 0.0000 0.0000
0.5000 0.5000 0.0000
0.0000 0.0000 0.5000
0.0000 0.5000 0.5000
0.5000 0.0000 0.5000
0.5000 0.5000 0.5000
0.2288 0.2288 0.6910
0.2476 0.7091 0.6713
0.2634 0.2634 0.3084
0.2909 0.7524 0.3287
0.7091 0.2476 0.6713
0.7366 0.7366 0.6916
0.7524 0.2909 0.3287
0.7712 0.7712 0.3090
```

Values from the calculation:
V (Å³/cell): 536
Fermi-level density of states (states/eV per cell): 15.339
M_tot (μB/cell): 3.25
Space-group type: No. 12
Raw formation energy (meV per atom): -1332

10.
This record from Alexandria describes a relaxed Pr2YHoEr6 crystal. The functional is PBE.

```
Pr2YHoEr6
1.0
4.4901 -7.5128 0.0000
4.4901 7.5128 0.0000
-1.5314 0.0000 9.5519
Pr Y Ho Er
4 2 2 12
Direct
0.1931 0.2989 0.0428
0.2989 0.1931 0.5428
0.7011 0.8069 0.4572
0.8069 0.7011 0.9572
0.0175 0.9825 0.2500
0.9825 0.0175 0.7500
0.4063 0.5937 0.7500
0.5937 0.4063 0.2500
0.0233 0.5762 0.1875
0.1260 0.7428 0.5574
0.2572 0.8740 0.9426
0.2919 0.5027 0.3815
0.4238 0.9767 0.3125
0.4973 0.7081 0.1185
0.5027 0.2919 0.8815
0.5762 0.0233 0.6875
0.7081 0.4973 0.6185
0.7428 0.1260 0.0574
0.8740 0.2572 0.4426
0.9767 0.4238 0.8125
```

Values from the calculation:
V (Å³/cell): 644
Fermi-level density of states (states/eV per cell): 26.726
Calculated formation energy (eV/atom): 0.116
M_tot (μB/cell): 0.00
Space-group type: No. 15

11.
This record from Alexandria describes a relaxed Tc2OsPb crystal. The functional is PBE.

```
Tc2OsPb
1.0
3.1455 0.0000 0.0000
0.0000 4.5550 0.0000
0.0000 0.0000 4.6563
Tc Os Pb
2 1 1
Direct
0.0000 0.0000 0.0000
0.5000 0.0000 0.5000
0.0000 0.5000 0.5000
0.5000 0.5000 0.0000
```

Values from the calculation:
V (Å³/cell): 67
Fermi-level density of states (states/eV per cell): 4.158
Calculated formation energy (eV/atom): 0.825
M_tot (μB/cell): 1.11
Space-group type: No. 47

12.
This record from Alexandria describes a relaxed PrZn5Pd7 crystal. The functional is PBE.

```
PrZn5Pd7
1.0
-2.6454 4.4612 4.4360
2.6454 -4.4612 4.4360
2.6454 4.4612 -4.4360
Pr Zn Pd
1 5 7
Direct
0.0000 0.0000 0.0000
0.4902 0.4949 0.5014
0.4902 0.9888 0.9953
0.7635 0.2635 0.5000
0.9935 0.4949 0.0047
0.9935 0.9888 0.4986
0.1969 0.4864 0.7106
0.2186 0.7186 0.5000
0.3403 0.3403 0.0000
0.3410 0.9968 0.3442
0.6513 0.6513 0.0000
0.6526 0.9968 0.6558
0.7758 0.4864 0.2894
```

Values from the calculation:
V (Å³/cell): 209
Fermi-level density of states (states/eV per cell): 4.396
Calculated formation energy (eV/atom): -0.544
M_tot (μB/cell): 0.00
Space-group type: No. 44